[1]
GGA-PBE LaMnPd3, relaxed; energy of formation = 3.829 eV per formula unit; density of states at the Fermi level = 3.1 states/eV/f.u.; energy = -5.17 eV/atom; energy relative to the lowest polymorph listed for this composition = 675.6 meV/atom
1.0
-3.8531 2.0588 2.6971
-2.0340 -4.6679 0.6573
2.7158 -0.5752 4.3189
Mn Pd La
1 3 1
direct
0.5000 0.5000 0.5000 Mn
0.0000 0.5000 0.0000 Pd
0.0000 0.0000 0.5000 Pd
0.5000 0.0000 0.0000 Pd
0.0000 0.0000 0.0000 La

=====

[2]
GGA-PBE Rb2AuI6Cl, relaxed; density of states at the Fermi level = 0.0 states/eV/f.u.; ΔE_f (raw) = -606.7 meV/atom; energy = -2.24 eV/atom
1.0
-2.6550 -3.4433 -7.2212
7.5870 -3.4971 -1.1220
0.7059 -8.2236 -1.2579
I Au Rb Cl
6 1 2 1
direct
0.2418 0.2418 0.5163 I
0.7582 0.7582 0.4837 I
0.2313 0.2313 0.0000 I
0.7687 0.7687 0.0000 I
0.7687 0.2313 0.0000 I
0.2313 0.7687 0.0000 I
0.0000 0.0000 0.0000 Au
0.7500 0.2500 0.5000 Rb
0.2500 0.7500 0.5000 Rb
0.5000 0.5000 0.0000 Cl

=====

- Among the records above, which one has the highest energy?
  Rb2AuI6Cl